A plane-wave DFT calculation with PBE was carried out for a relaxed structure of LaDyEr2.

DFT formation energy ... 0.012 eV/atom
Distance to the lowest polymorph of the same formula ... 0.00 eV/f.u.

Unit cell a=3.6008 b=3.6008 c=34.5657 alpha=90.00 beta=90.00 gamma=120.00
Space group R3m (No. 160, hexagonal axes)
Unique sites:
La: 0.0000 0.0000 0.0000 [3 per cell]
Dy: 0.0000 0.0000 0.8342 [3 per cell]
Er: 0.0000 0.0000 0.4189 [3 per cell]
Er: 0.0000 0.0000 0.5819 [3 per cell]


A plane-wave DFT calculation with PBE was carried out for a relaxed structure of HfSiTcPt2.

ΔE_f (raw) ... -0.0911 eV per atom

Unit cell a=4.488 b=4.488 c=4.423 alpha=90.00 beta=90.00 gamma=90.00
Space group P4/mmm (No. 123)
Unique sites:
Hf: 0.000 0.000 0.000 [1 per cell]
Si: 0.500 0.500 0.500 [1 per cell]
Tc: 0.500 0.500 0.000 [1 per cell]
Pt: 0.000 0.500 0.500 [2 per cell]


A plane-wave DFT calculation with PBE was carried out for a relaxed structure of VAsP.

DFT formation energy ... -0.138 eV/atom
Distance to the lowest polymorph of the same formula ... 0.37 eV/f.u.

Unit cell a=6.252 b=3.026 c=17.449 alpha=90.00 beta=91.96 gamma=90.00
Space group Pm (No. 6)
Unique sites:
V: 0.000 0.000 0.000 [1 per cell]
V: 0.016 0.000 0.667 [1 per cell]
V: 0.036 0.000 0.335 [1 per cell]
V: 0.488 0.500 0.168 [1 per cell]
V: 0.508 0.500 0.833 [1 per cell]
V: 0.524 0.500 0.501 [1 per cell]
As: 0.291 0.000 0.906 [1 per cell]
As: 0.305 0.000 0.572 [1 per cell]
As: 0.707 0.000 0.093 [1 per cell]
As: 0.727 0.000 0.761 [1 per cell]
As: 0.745 0.000 0.429 [1 per cell]
As: 0.801 0.500 0.261 [1 per cell]
P: 0.204 0.500 0.072 [1 per cell]
P: 0.223 0.500 0.738 [1 per cell]
P: 0.242 0.500 0.404 [1 per cell]
P: 0.299 0.000 0.238 [1 per cell]
P: 0.794 0.500 0.928 [1 per cell]
P: 0.808 0.500 0.596 [1 per cell]